Below is crystalline BaTmFeCuO5 at its relaxed geometry, with properties calculated at the PBEsol level.

```
BaTmFeCuO5
1.0
-2.984 2.286 0.742
-2.399 -2.756 -1.155
-0.305 -2.675 7.019
Ba Tm Fe Cu O
1 1 1 1 5
Direct
0.500 0.500 0.730 Ba
0.500 0.500 0.204 Tm
0.000 0.000 0.441 Fe
0.000 0.000 0.002 Cu
0.500 0.000 0.024 O
0.000 0.500 0.024 O
0.500 0.000 0.388 O
0.000 0.500 0.388 O
0.000 0.000 0.686 O
```

Computed properties:
As for the space group: P4mm. The calculation puts the raw formation energy at -2.145 eV/atom. The total magnetization comes out at 4.41 μB per formula unit.

***

Below is crystalline Ba4Y2FeCu5O14 at its relaxed geometry, with properties calculated at the PBEsol level.

```
Ba4Y2FeCu5O14
1.0
-2.737 -1.687 -2.046
0.791 -6.395 4.213
-7.599 0.726 9.563
Ba Y Fe Cu O
4 2 1 5 14
Direct
0.500 0.845 0.813 Ba
0.500 0.342 0.813 Ba
0.500 0.155 0.187 Ba
0.500 0.658 0.187 Ba
0.500 0.000 0.500 Y
0.500 0.500 0.500 Y
0.000 0.500 0.000 Fe
0.000 0.178 0.644 Cu
0.000 0.680 0.639 Cu
0.000 0.320 0.361 Cu
0.000 0.822 0.356 Cu
0.000 0.000 0.000 Cu
0.000 0.080 0.839 O
0.000 0.577 0.845 O
0.000 0.423 0.155 O
0.000 0.920 0.161 O
0.500 0.189 0.622 O
0.500 0.689 0.621 O
0.000 0.939 0.622 O
0.000 0.440 0.622 O
0.500 0.311 0.379 O
0.500 0.811 0.378 O
0.000 0.061 0.378 O
0.000 0.560 0.378 O
0.001 0.744 0.000 O
0.999 0.256 0.000 O
```

Computed properties:
As for the space group: Cmmm. The calculation puts the raw formation energy at -1.929 eV/atom. The total magnetization comes out at 3.62 μB per formula unit.

***

Below is crystalline BaY2FeCu at its relaxed geometry, with properties calculated at the PBEsol level.

```
BaY2FeCu
1.0
-2.569 3.226 -2.927
-3.793 -3.328 -0.339
-2.297 2.170 4.407
Y Ba Cu Fe
2 1 1 1
Direct
0.000 0.500 0.000 Y
0.500 0.000 0.000 Y
0.000 0.000 0.500 Ba
0.500 0.500 0.500 Cu
0.000 0.000 0.000 Fe
```

Computed properties:
As for the space group: P4/mmm. As for the formation energy: 0.4808 eV/atom. The total magnetization comes out at 0.00 μB per formula unit.

***

Below is crystalline BaGaCu2 at its relaxed geometry, with properties calculated at the PBEsol level.

```
BaGaCu2
1.0
-2.654 -3.159 0.974
1.452 -3.452 1.988
-1.452 0.209 5.945
Ga Ba Cu
1 1 2
Direct
0.500 0.500 0.500 Ga
0.000 0.000 0.000 Ba
0.814 0.814 0.558 Cu
0.186 0.186 0.442 Cu
```

Computed properties:
As for the space group: R-3m. As for the formation energy: -0.2080 eV/atom. The total magnetization comes out at 0.00 μB per formula unit.

***

Below is crystalline BaGa2CuSb at its relaxed geometry, with properties calculated at the PBEsol level.

```
BaGa2CuSb
1.0
5.841 0.000 0.000
0.000 5.841 0.000
0.000 0.000 6.107
Sb Cu Ba Ga
1 1 1 2
Direct
0.000 0.000 0.500 Sb
0.500 0.500 0.500 Cu
0.000 0.000 0.000 Ba
0.000 0.500 0.000 Ga
0.500 0.000 0.000 Ga
```

Computed properties:
As for the space group: P4/mmm. The calculation puts the raw formation energy at 1.418 eV/atom. The total magnetization comes out at 0.00 μB per formula unit.

***

Below is crystalline Ba2TaGaCu at its relaxed geometry, with properties calculated at the PBEsol level.

```
Ba2TaGaCu
1.0
4.921 0.000 0.000
0.000 6.202 0.000
0.000 0.000 6.202
Cu Ba Ga Ta
1 2 1 1
Direct
0.500 0.500 0.500 Cu
0.000 0.000 0.500 Ba
0.000 0.500 0.000 Ba
0.000 0.000 0.000 Ga
0.500 0.000 0.000 Ta
```

Computed properties:
As for the space group: P4/mmm. As for the formation energy: 0.9906 eV/atom. The total magnetization comes out at 3.23 μB per formula unit.

***

Below is crystalline Ba2GdCu2Hg2O8 at its relaxed geometry, with properties calculated at the PBEsol level.

```
Ba2GdCu2Hg2O8
1.0
3.849 0.000 0.000
0.000 3.849 0.000
-1.924 -1.924 14.428
Hg Gd Ba O Cu
2 1 2 8 2
Direct
0.712 0.712 0.423 Hg
0.288 0.288 0.577 Hg
0.000 0.000 0.000 Gd
0.873 0.873 0.746 Ba
0.127 0.127 0.254 Ba
0.450 0.950 0.900 O
0.550 0.050 0.100 O
0.950 0.450 0.900 O
0.050 0.550 0.100 O
0.783 0.783 0.566 O
0.217 0.217 0.434 O
0.640 0.640 0.279 O
0.360 0.360 0.721 O
0.558 0.558 0.116 Cu
0.442 0.442 0.884 Cu
```

Computed properties:
As for the space group: I4/mmm. The calculation puts the raw formation energy at -1.565 eV/atom. The total magnetization comes out at 7.55 μB per formula unit.

***

Below is crystalline Ba2GdCu4O8 at its relaxed geometry, with properties calculated at the PBEsol level.

```
Ba2GdCu4O8
1.0
-3.418 1.729 0.393
-1.230 -1.697 -3.235
-5.080 -11.309 5.567
O Gd Ba Cu
8 1 2 4
Direct
0.000 0.855 0.289 O
0.000 0.145 0.711 O
0.000 0.554 0.893 O
0.000 0.446 0.107 O
0.000 0.718 0.564 O
0.000 0.282 0.436 O
0.500 0.946 0.108 O
0.500 0.054 0.892 O
0.500 0.500 0.000 Gd
0.500 0.636 0.728 Ba
0.500 0.364 0.272 Ba
0.000 0.937 0.126 Cu
0.000 0.063 0.874 Cu
0.000 0.787 0.425 Cu
0.000 0.213 0.575 Cu
```

Computed properties:
As for the space group: Cmmm. The calculation puts the raw formation energy at -1.687 eV/atom. The total magnetization comes out at 6.96 μB per formula unit.

***

Below is crystalline BaGdCuS3 at its relaxed geometry, with properties calculated at the PBEsol level.

```
BaGdCuS3
1.0
-3.620 1.475 -0.770
2.055 -3.343 -5.754
-4.242 -8.595 3.480
S Gd Ba Cu
6 2 2 2
Direct
0.367 0.734 0.066 S
0.935 0.869 0.750 S
0.633 0.266 0.566 S
0.633 0.266 0.934 S
0.367 0.734 0.434 S
0.065 0.131 0.250 S
0.000 0.000 0.500 Gd
0.000 0.000 0.000 Gd
0.256 0.513 0.750 Ba
0.744 0.487 0.250 Ba
0.468 0.937 0.250 Cu
0.532 0.063 0.750 Cu
```

Computed properties:
As for the space group: Cmcm. The calculation puts the raw formation energy at -1.754 eV/atom. The total magnetization comes out at 6.99 μB per formula unit.

***

Below is crystalline BaGdCuSe3 at its relaxed geometry, with properties calculated at the PBEsol level.

```
BaGdCuSe3
1.0
4.138 0.000 0.000
-2.069 6.917 0.000
0.000 0.000 10.596
Gd Ba Se Cu
2 2 6 2
Direct
0.500 0.000 0.500 Gd
0.500 0.000 0.000 Gd
0.754 0.507 0.750 Ba
0.246 0.493 0.250 Ba
0.864 0.728 0.064 Se
0.432 0.863 0.750 Se
0.136 0.272 0.564 Se
0.136 0.272 0.936 Se
0.864 0.728 0.436 Se
0.568 0.137 0.250 Se
0.968 0.937 0.250 Cu
0.032 0.063 0.750 Cu
```

Computed properties:
As for the space group: Cmcm. The calculation puts the raw formation energy at -1.598 eV/atom. The total magnetization comes out at 7.00 μB per formula unit.

***

Below is crystalline BaCuGe at its relaxed geometry, with properties calculated at the PBEsol level.

```
BaCuGe
1.0
4.196 0.000 0.000
-2.098 3.634 0.000
0.000 0.000 4.940
Ge Ba Cu
1 1 1
Direct
0.333 0.667 0.500 Ge
0.000 0.000 0.000 Ba
0.667 0.333 0.500 Cu
```

Computed properties:
As for the space group: P-6m2. As for the formation energy: -0.3432 eV/atom. The total magnetization comes out at 0.00 μB per formula unit.

***

Below is crystalline BaCu2Ge2O7 at its relaxed geometry, with properties calculated at the PBEsol level.

```
BaCu2Ge2O7
1.0
-3.579 3.290 -5.049
-3.162 -6.168 -1.778
-9.680 2.514 8.500
Ba Cu Ge O
4 8 8 28
Direct
0.980 0.951 0.250 Ba
0.480 0.549 0.250 Ba
0.520 0.451 0.750 Ba
0.020 0.049 0.750 Ba
0.217 0.793 0.005 Cu
0.717 0.707 0.495 Cu
0.283 0.293 0.995 Cu
0.783 0.207 0.505 Cu
0.783 0.207 0.995 Cu
0.283 0.293 0.505 Cu
0.717 0.707 0.005 Cu
0.217 0.793 0.495 Cu
0.987 0.477 0.128 Ge
0.487 0.023 0.372 Ge
0.513 0.977 0.872 Ge
0.013 0.523 0.628 Ge
0.013 0.523 0.872 Ge
0.513 0.977 0.628 Ge
0.487 0.023 0.128 Ge
0.987 0.477 0.372 Ge
0.103 0.502 0.250 O
0.603 0.998 0.250 O
0.397 0.002 0.750 O
0.897 0.498 0.750 O
0.811 0.653 0.136 O
0.311 0.847 0.364 O
0.689 0.153 0.864 O
0.189 0.347 0.636 O
0.189 0.347 0.864 O
0.689 0.153 0.636 O
0.311 0.847 0.136 O
0.811 0.653 0.364 O
0.914 0.244 0.119 O
0.414 0.256 0.381 O
0.586 0.744 0.881 O
0.086 0.756 0.619 O
0.086 0.756 0.881 O
0.586 0.744 0.619 O
0.414 0.256 0.119 O
0.914 0.244 0.381 O
0.180 0.532 0.042 O
0.680 0.968 0.458 O
0.320 0.032 0.958 O
0.820 0.468 0.542 O
0.820 0.468 0.958 O
0.320 0.032 0.542 O
0.680 0.968 0.042 O
0.180 0.532 0.458 O
```

Computed properties:
As for the space group: Pnma. The calculation puts the raw formation energy at -1.573 eV/atom. The total magnetization comes out at 0.00 μB per formula unit.